Entry 1:
## ScCoOs2 (GGA-PBEsol)

Data for a relaxed structure of ScCoOs2.

Geometry as POSCAR:
```
ScCoOs2
1.0
2.708 0.000 0.000
0.000 4.683 0.001
0.000 -1.618 4.395
Co Os Sc
1 2 1
Direct
0.500 0.500 0.500 Co
0.000 0.500 0.000 Os
0.000 0.000 0.500 Os
0.500 0.000 0.000 Sc
```

Properties
Energy above the most stable polymorph in this dataset = 139 meV/atom
Theoretical density = 14.43 g/cm³
Magnetization = 0.0 μB/cell

Entry 2:
## Cd2CoOs (GGA-PBEsol)

Data for a relaxed structure of Cd2CoOs.

Geometry as POSCAR:
```
Cd2CoOs
1.0
-2.224 -1.438 -1.731
-1.149 -2.396 3.466
-2.959 3.143 1.191
Co Os Cd
1 1 2
Direct
0.500 0.000 0.500 Co
0.000 0.500 0.500 Os
0.000 0.000 0.000 Cd
0.500 0.500 0.000 Cd
```

Properties
Energy above the most stable polymorph in this dataset = 0 meV/atom
Theoretical density = 12.72 g/cm³
Magnetization = 2.1 μB/cell

Entry 3:
## NaAgC3 (GGA-PBEsol)

Data for a relaxed structure of NaAgC3.

Geometry as POSCAR:
```
NaAgC3
1.0
4.153 0.000 0.000
0.000 4.153 0.000
0.000 0.000 4.153
Na C Ag
1 3 1
Direct
0.500 0.500 0.500 Na
0.000 0.500 0.000 C
0.000 0.000 0.500 C
0.500 0.000 0.000 C
0.000 0.000 0.000 Ag
```

Properties
Raw total energy = -18.93 eV per cell
Theoretical density = 3.87 g/cm³
Magnetization = 0.0 μB/cell

Entry 4:
## ZrCoN2 (GGA-PBEsol)

Data for a relaxed structure of ZrCoN2.

Geometry as POSCAR:
```
ZrCoN2
1.0
-1.343 -2.747 -0.237
0.364 -2.082 2.222
-4.946 0.420 3.321
Co Zr N
1 1 2
Direct
0.500 0.500 0.500 Co
0.000 0.000 0.000 Zr
0.880 0.880 0.360 N
0.120 0.120 0.640 N
```

Properties
E_form (uncorrected) = 126 meV per atom
Theoretical density = 6.37 g/cm³
Magnetization = 0.0 μB/cell

Entry 5:
## Co4TcAs (GGA-PBEsol)

Data for a relaxed structure of Co4TcAs.

Geometry as POSCAR:
```
Co4TcAs
1.0
-4.412 -1.229 0.527
-1.749 -0.557 4.229
-3.056 3.032 1.648
As Co Tc
1 4 1
Direct
0.000 0.000 0.000 As
0.375 0.375 0.375 Co
0.375 0.375 0.874 Co
0.874 0.375 0.375 Co
0.375 0.874 0.375 Co
0.750 0.750 0.750 Tc
```

Properties
Raw total energy = -45.46 eV per cell
Theoretical density = 9.80 g/cm³
Magnetization = 3.8 μB/cell

Entry 6:
## YTaSb2 (GGA-PBEsol)

Data for a relaxed structure of YTaSb2.

Geometry as POSCAR:
```
YTaSb2
1.0
-4.008 0.745 -2.869
-4.522 0.329 2.072
-2.373 4.383 0.122
Sb Ta Y
2 1 1
Direct
0.250 0.250 0.250 Sb
0.750 0.750 0.750 Sb
0.500 0.500 0.500 Ta
0.000 0.000 0.000 Y
```

Properties
E_form (uncorrected) = -281 meV per atom
Energy above the most stable polymorph in this dataset = 81 meV/atom
Theoretical density = 9.73 g/cm³
Magnetization = 0.0 μB/cell